1.
# GGA-PBE Pm3Ho6Tm, relaxed
data_Pm3Ho6Tm
_chemical_formula_sum 'Pm6 Ho12 Tm2'
_symmetry_space_group_name_H-M 'P 1'
_symmetry_Int_Tables_number 1
_cell_length_a 10.913
_cell_length_b 10.913
_cell_length_c 6.276
_cell_angle_alpha 90.00
_cell_angle_beta 90.00
_cell_angle_gamma 119.78
loop_
_symmetry_equiv_pos_as_xyz
'x,y,z'
loop_
_atom_site_label
_atom_site_fract_x
_atom_site_fract_y
_atom_site_fract_z
Pm1 0.111 0.889 0.500
Pm2 0.216 0.439 0.893
Pm3 0.439 0.216 0.393
Pm4 0.561 0.784 0.893
Pm5 0.784 0.561 0.393
Pm6 0.889 0.111 0.000
Ho1 0.033 0.453 0.299
Ho2 0.119 0.212 0.476
Ho3 0.212 0.119 0.976
Ho4 0.224 0.776 0.077
Ho5 0.453 0.033 0.799
Ho6 0.457 0.543 0.324
Ho7 0.543 0.457 0.824
Ho8 0.547 0.967 0.299
Ho9 0.776 0.224 0.577
Ho10 0.788 0.881 0.476
Ho11 0.881 0.788 0.976
Ho12 0.967 0.547 0.799
Tm1 0.299 0.701 0.567
Tm2 0.701 0.299 0.067
# Fermi-level density of states ... 14.0 states/eV/f.u.
# SG ... No. 36
# Uncorrected energy ... -44.7 eV per formula unit

2.
# GGA-PBE AlPCl2, relaxed
data_AlPCl2
_chemical_formula_sum 'Al2 P2 Cl4'
_symmetry_space_group_name_H-M 'P 1'
_symmetry_Int_Tables_number 1
_cell_length_a 3.750
_cell_length_b 3.750
_cell_length_c 11.619
_cell_angle_alpha 90.00
_cell_angle_beta 90.00
_cell_angle_gamma 90.00
loop_
_symmetry_equiv_pos_as_xyz
'x,y,z'
loop_
_atom_site_label
_atom_site_fract_x
_atom_site_fract_y
_atom_site_fract_z
Al1 0.000 0.000 0.000
Al2 0.500 0.500 0.500
P1 0.000 0.500 0.250
P2 0.500 0.000 0.750
Cl1 0.000 0.000 0.500
Cl2 0.000 0.500 0.750
Cl3 0.500 0.000 0.250
Cl4 0.500 0.500 0.000
# Fermi-level density of states ... 2.2 states/eV/f.u.
# SG ... No. 119
# E_form (uncorrected) ... 0.26 eV per atom
# Uncorrected energy ... -11.8 eV per formula unit